Entry 1:
Entry from the Alexandria database: a relaxed DyLuMnTl crystal (PBE-GGA).

energy of formation	-0.009	eV/atom
VASP energy	-82.78	eV per cell

Structure (CIF):
```
data_DyLuMnTl
_symmetry_space_group_name_H-M 'F -4 3 m'
_symmetry_Int_Tables_number 216
_symmetry_space_group_name_Hall 'F -4 2 3'
_cell_length_a 7.302
_cell_length_b 7.302
_cell_length_c 7.302
_cell_angle_alpha 90.00
_cell_angle_beta 90.00
_cell_angle_gamma 90.00
loop_
_atom_site_label
_atom_site_type_symbol
_atom_site_fract_x
_atom_site_fract_y
_atom_site_fract_z
_atom_site_occupancy
Dy1 Dy 0.000 0.000 0.000 1
Lu1 Lu 0.000 0.000 0.500 1
Mn1 Mn 0.250 0.250 0.750 1
Tl1 Tl 0.250 0.250 0.250 1
```



Entry 2:
Entry from the Alexandria database: a relaxed Dy2LuN crystal (PBE-GGA).

VASP energy	-74.04	eV per cell
energy relative to the elements, uncorrected	-0.658	eV/atom

Structure (CIF):
```
data_Dy2LuN
_symmetry_space_group_name_H-M 'R -3 m'
_symmetry_Int_Tables_number 166
_symmetry_space_group_name_Hall '-R 3 2"'
_cell_length_a 3.4450
_cell_length_b 3.4450
_cell_length_c 27.8816
_cell_angle_alpha 90.00
_cell_angle_beta 90.00
_cell_angle_gamma 120.00
loop_
_atom_site_label
_atom_site_type_symbol
_atom_site_fract_x
_atom_site_fract_y
_atom_site_fract_z
_atom_site_occupancy
Dy1 Dy 0.0000 0.0000 0.1190 1
Lu1 Lu 0.0000 0.0000 0.0000 1
N1 N 0.0000 0.0000 0.5000 1
```